# 1
ErZnNiHg: relaxed, PBE.

- ΔH_f (0 K) (eV per atom) = -0.220

```
data_ErZnNiHg
_chemical_formula_sum 'Er4 Zn4 Ni4 Hg4'
_space_group_name_H-M_alt 'F -4 3 m'
_space_group_IT_number 216
_space_group_name_Hall 'F -4 2 3'
_cell_length_a 6.6187
_cell_length_b 6.6187
_cell_length_c 6.6187
_cell_angle_alpha 90.00
_cell_angle_beta 90.00
_cell_angle_gamma 90.00
loop_
_atom_site_label
_atom_site_type_symbol
_atom_site_fract_x
_atom_site_fract_y
_atom_site_fract_z
Er1 Er 0.0000 0.0000 0.0000
Zn1 Zn 0.2500 0.2500 0.7500
Ni1 Ni 0.2500 0.2500 0.2500
Hg1 Hg 0.0000 0.0000 0.5000
```

# 2
ErNpSnHg: relaxed, PBE.

- ΔH_f (0 K) (eV per atom) = -0.152

```
data_ErNpSnHg
_chemical_formula_sum 'Er4 Np4 Sn4 Hg4'
_space_group_name_H-M_alt 'F -4 3 m'
_space_group_IT_number 216
_space_group_name_Hall 'F -4 2 3'
_cell_length_a 7.4724
_cell_length_b 7.4724
_cell_length_c 7.4724
_cell_angle_alpha 90.00
_cell_angle_beta 90.00
_cell_angle_gamma 90.00
loop_
_atom_site_label
_atom_site_type_symbol
_atom_site_fract_x
_atom_site_fract_y
_atom_site_fract_z
Er1 Er 0.0000 0.0000 0.0000
Np1 Np 0.0000 0.0000 0.5000
Sn1 Sn 0.2500 0.2500 0.7500
Hg1 Hg 0.2500 0.2500 0.2500
```

# 3
Er2HgO2: relaxed, PBE.

- formation energy (no corrections) (eV per atom) = -2.547

```
data_Er2HgO2
_chemical_formula_sum 'Er4 Hg2 O4'
_space_group_name_H-M_alt 'I 4/m m m'
_space_group_IT_number 139
_space_group_name_Hall '-I 4 2'
_cell_length_a 3.9509
_cell_length_b 3.9509
_cell_length_c 11.7691
_cell_angle_alpha 90.00
_cell_angle_beta 90.00
_cell_angle_gamma 90.00
loop_
_atom_site_label
_atom_site_type_symbol
_atom_site_fract_x
_atom_site_fract_y
_atom_site_fract_z
Er1 Er 0.0000 0.0000 0.1608
Hg1 Hg 0.0000 0.0000 0.5000
O1 O 0.0000 0.5000 0.2500
```

# 4
Er2HgO4: relaxed, PBE.

- formation energy (no corrections) (eV per atom) = -2.671

```
data_Er2HgO4
_chemical_formula_sum 'Er8 Hg4 O16'
_space_group_name_H-M_alt 'C 1 2/m 1'
_space_group_IT_number 12
_cell_length_a 13.6166
_cell_length_b 3.5904
_cell_length_c 10.1012
_cell_angle_alpha 90.00
_cell_angle_beta 122.81
_cell_angle_gamma 90.00
loop_
_space_group_symop_operation_xyz
'x,y,z'
'-x,-y,-z'
'-x,y,-z'
'x,-y,z'
'x+1/2,y+1/2,z'
'-x+1/2,-y+1/2,-z'
'-x+1/2,y+1/2,-z'
'x+1/2,-y+1/2,z'
loop_
_atom_site_label
_atom_site_type_symbol
_atom_site_fract_x
_atom_site_fract_y
_atom_site_fract_z
Er1 Er 0.1187 0.0000 0.4632
Er2 Er 0.1589 0.5000 0.8007
Hg1 Hg 0.1135 0.5000 0.1620
O1 O 0.0344 0.5000 0.2838
O2 O 0.0826 0.0000 0.6526
O3 O 0.2033 0.5000 0.0539
O4 O 0.2324 0.5000 0.6114
```

# 5
Er6Hg3O: relaxed, PBE.

- formation energy (no corrections) (eV per atom) = -0.765

```
data_Er6Hg3O
_chemical_formula_sum 'Er12 Hg6 O2'
_space_group_name_H-M_alt 'P 1 21/c 1'
_space_group_IT_number 14
_cell_length_a 6.3931
_cell_length_b 7.8738
_cell_length_c 11.5857
_cell_angle_alpha 90.00
_cell_angle_beta 120.93
_cell_angle_gamma 90.00
loop_
_space_group_symop_operation_xyz
'x,y,z'
'-x,-y,-z'
'-x,y+1/2,-z+1/2'
'x,-y+1/2,z+1/2'
loop_
_atom_site_label
_atom_site_type_symbol
_atom_site_fract_x
_atom_site_fract_y
_atom_site_fract_z
Er1 Er 0.0654 0.0537 0.2245
Er2 Er 0.1883 0.7211 0.0662
Er3 Er 0.3816 0.1451 0.0532
Hg1 Hg 0.3143 0.1146 0.7326
Hg2 Hg 0.5000 0.0000 0.5000
O1 O 0.0000 0.0000 0.0000
```

# 6
ErHgO3: relaxed, PBE.

- formation energy (no corrections) (eV per atom) = -1.700

```
data_ErHgO3
_chemical_formula_sum 'Er4 Hg4 O12'
_space_group_name_H-M_alt 'C m c m'
_space_group_IT_number 63
_space_group_name_Hall '-C 2c 2'
_cell_length_a 3.5710
_cell_length_b 14.3924
_cell_length_c 5.7497
_cell_angle_alpha 90.00
_cell_angle_beta 90.00
_cell_angle_gamma 90.00
loop_
_atom_site_label
_atom_site_type_symbol
_atom_site_fract_x
_atom_site_fract_y
_atom_site_fract_z
Er1 Er 0.0000 0.1957 0.2500
Hg1 Hg 0.0000 0.4428 0.2500
O1 O 0.0000 0.0349 0.2500
O2 O 0.0000 0.3220 0.5016
```